This record from Alexandria via LeMat-Bulk describes Tl2CrP at its PBEsol-relaxed geometry. The functional is meta-GGA SCAN.

a b c (Å): 3.547 4.428 5.748
angles (deg): 112.65 90.00 90.00
Sites, in units of the cell vectors:
Cr (0.000, 0.695, 0.390)
P (0.500, 0.559, 0.118)
Tl (0.000, 0.970, 0.940)
Tl (0.500, 0.274, 0.548)

Computed properties:
Crystal system = orthorhombic
VASP energy = -172.94 eV/cell
Theoretical density = 9.80 g/cm³
Volume = 83 Å³/cell
Energy of formation = 0.140 eV/atom

=====

This record from Alexandria via LeMat-Bulk describes TlCrP4 at its PBEsol-relaxed geometry. The functional is meta-GGA SCAN.

a b c (Å): 5.292 5.292 5.292
angles (deg): 60.00 60.00 60.00
Sites, in units of the cell vectors:
Cr (0.000, 0.000, 0.000)
P (0.364, 0.364, 0.364)
P (0.364, 0.364, 0.908)
P (0.908, 0.364, 0.364)
P (0.364, 0.908, 0.364)
Tl (0.750, 0.750, 0.750)

Computed properties:
Crystal system = cubic
VASP energy = -128.43 eV/cell
Theoretical density = 6.02 g/cm³
Volume = 105 Å³/cell
Energy of formation = 0.651 eV/atom

=====

This record from Alexandria via LeMat-Bulk describes UCr5P3 at its PBEsol-relaxed geometry. The functional is meta-GGA SCAN.

a b c (Å): 3.709 6.636 9.344
angles (deg): 98.00 90.00 90.00
Sites, in units of the cell vectors:
U (0.250, 0.178, 0.784)
U (0.750, 0.822, 0.216)
Cr (0.250, 0.678, 0.720)
Cr (0.750, 0.322, 0.280)
Cr (0.250, 0.837, 0.491)
Cr (0.750, 0.163, 0.509)
Cr (0.250, 0.458, 0.070)
Cr (0.750, 0.542, 0.930)
Cr (0.250, 0.084, 0.101)
Cr (0.750, 0.916, 0.899)
Cr (0.250, 0.395, 0.514)
Cr (0.750, 0.605, 0.486)
P (0.250, 0.555, 0.312)
P (0.750, 0.445, 0.688)
P (0.250, 0.763, 0.978)
P (0.750, 0.237, 0.022)
P (0.250, 0.102, 0.347)
P (0.750, 0.898, 0.653)

Computed properties:
Crystal system = monoclinic
VASP energy = -462.53 eV/cell
Theoretical density = 8.62 g/cm³
Volume = 228 Å³/cell
Energy of formation = -0.513 eV/atom

=====

This record from Alexandria via LeMat-Bulk describes CrPW2 at its PBEsol-relaxed geometry. The functional is meta-GGA SCAN.

a b c (Å): 3.006 4.085 5.021
angles (deg): 114.00 107.42 90.00
Sites, in units of the cell vectors:
Cr (0.515, 0.015, 0.030)
P (0.232, 0.232, 0.464)
W (0.992, 0.492, 0.984)
W (0.761, 0.761, 0.522)

Computed properties:
Crystal system = orthorhombic
VASP energy = -167.74 eV/cell
Theoretical density = 14.06 g/cm³
Volume = 53 Å³/cell
Energy of formation = 0.106 eV/atom

=====

This record from Alexandria via LeMat-Bulk describes CrPW2 at its PBEsol-relaxed geometry. The functional is meta-GGA SCAN.

a b c (Å): 2.727 3.990 5.154
angles (deg): 90.00 103.11 90.00
Sites, in units of the cell vectors:
Cr (0.500, 0.500, 0.000)
P (0.000, 0.500, 0.500)
W (0.760, 0.000, 0.751)
W (0.240, 0.000, 0.249)

Computed properties:
Crystal system = monoclinic
VASP energy = -167.06 eV/cell
Theoretical density = 13.70 g/cm³
Volume = 55 Å³/cell
Energy of formation = 0.275 eV/atom

=====

This record from Alexandria via LeMat-Bulk describes CrP4W at its PBEsol-relaxed geometry. The functional is meta-GGA SCAN.

a b c (Å): 4.828 4.828 4.828
angles (deg): 60.00 60.00 60.00
Sites, in units of the cell vectors:
Cr (0.000, 0.000, 0.000)
P (0.375, 0.375, 0.375)
P (0.375, 0.375, 0.875)
P (0.875, 0.375, 0.375)
P (0.375, 0.875, 0.375)
W (0.750, 0.750, 0.750)

Computed properties:
Crystal system = cubic
VASP energy = -124.16 eV/cell
Theoretical density = 7.51 g/cm³
Volume = 80 Å³/cell
Energy of formation = 0.917 eV/atom

=====

This record from Alexandria via LeMat-Bulk describes Cr2PW at its PBEsol-relaxed geometry. The functional is meta-GGA SCAN.

a b c (Å): 2.777 2.777 7.818
angles (deg): 79.77 79.77 60.00
Sites, in units of the cell vectors:
Cr (0.008, 0.008, 0.975)
Cr (0.750, 0.750, 0.751)
P (0.494, 0.494, 0.519)
W (0.248, 0.248, 0.255)

Computed properties:
Crystal system = trigonal
VASP energy = -115.54 eV/cell
Theoretical density = 10.36 g/cm³
Volume = 51 Å³/cell
Energy of formation = 0.328 eV/atom

=====

This record from Alexandria via LeMat-Bulk describes CrPW2 at its PBEsol-relaxed geometry. The functional is meta-GGA SCAN.

a b c (Å): 2.889 2.889 7.926
angles (deg): 79.50 79.50 60.00
Sites, in units of the cell vectors:
Cr (0.500, 0.500, 0.500)
P (0.000, 0.000, 0.000)
W (0.251, 0.251, 0.246)
W (0.749, 0.749, 0.754)

Computed properties:
Crystal system = trigonal
VASP energy = -166.53 eV/cell
Theoretical density = 13.36 g/cm³
Volume = 56 Å³/cell
Energy of formation = 0.407 eV/atom

=====

This record from Alexandria via LeMat-Bulk describes CrPW2 at its PBEsol-relaxed geometry. The functional is meta-GGA SCAN.

a b c (Å): 3.110 4.254 4.851
angles (deg): 116.01 108.70 90.00
Sites, in units of the cell vectors:
Cr (0.500, 0.000, 0.000)
P (0.000, 0.500, 0.000)
W (0.745, 0.745, 0.490)
W (0.255, 0.255, 0.510)

Computed properties:
Crystal system = orthorhombic
VASP energy = -167.64 eV/cell
Theoretical density = 13.89 g/cm³
Volume = 54 Å³/cell
Energy of formation = 0.130 eV/atom

=====

This record from Alexandria via LeMat-Bulk describes CrPW3 at its PBEsol-relaxed geometry. The functional is meta-GGA SCAN.

a b c (Å): 4.395 4.395 4.395
angles (deg): 90.00 90.00 90.00
Sites, in units of the cell vectors:
Cr (0.500, 0.500, 0.500)
W (0.000, 0.500, 0.000)
W (0.000, 0.000, 0.500)
W (0.500, 0.000, 0.000)
P (0.000, 0.000, 0.000)

Computed properties:
Crystal system = cubic
VASP energy = -232.55 eV/cell
Theoretical density = 12.41 g/cm³
Volume = 85 Å³/cell
Energy of formation = 1.060 eV/atom

=====

This record from Alexandria via LeMat-Bulk describes CrPW at its PBEsol-relaxed geometry. The functional is meta-GGA SCAN.

a b c (Å): 2.799 3.974 3.974
angles (deg): 120.00 90.00 90.00
Sites, in units of the cell vectors:
Cr (0.809, 0.000, 0.000)
P (0.825, 0.333, 0.667)
W (0.365, 0.667, 0.333)

Computed properties:
Crystal system = trigonal
VASP energy = -98.35 eV/cell
Theoretical density = 11.57 g/cm³
Volume = 38 Å³/cell
Energy of formation = 0.042 eV/atom

=====

This record from Alexandria via LeMat-Bulk describes Cr2PW at its PBEsol-relaxed geometry. The functional is meta-GGA SCAN.

a b c (Å): 3.444 3.444 4.818
angles (deg): 110.94 110.94 90.00
Sites, in units of the cell vectors:
Cr (0.750, 0.250, 0.500)
Cr (0.250, 0.750, 0.500)
P (0.500, 0.500, 0.000)
W (0.000, 0.000, 0.000)

Computed properties:
Crystal system = tetragonal
VASP energy = -116.26 eV/cell
Theoretical density = 10.74 g/cm³
Volume = 49 Å³/cell
Energy of formation = 0.148 eV/atom

=====

This record from Alexandria via LeMat-Bulk describes ZnCr4P at its PBEsol-relaxed geometry. The functional is meta-GGA SCAN.

a b c (Å): 4.671 4.671 4.671
angles (deg): 60.00 60.00 60.00
Sites, in units of the cell vectors:
Cr (0.374, 0.374, 0.374)
Cr (0.374, 0.374, 0.877)
Cr (0.877, 0.374, 0.374)
Cr (0.374, 0.877, 0.374)
P (0.750, 0.750, 0.750)
Zn (0.000, 0.000, 0.000)

Computed properties:
Crystal system = cubic
VASP energy = -94.77 eV/cell
Theoretical density = 7.01 g/cm³
Volume = 72 Å³/cell
Energy of formation = 0.448 eV/atom

=====

This record from Alexandria via LeMat-Bulk describes Zn2CrP at its PBEsol-relaxed geometry. The functional is meta-GGA SCAN.

a b c (Å): 3.350 3.350 4.730
angles (deg): 90.00 90.00 90.00
Sites, in units of the cell vectors:
Cr (0.500, 0.500, 0.000)
P (0.500, 0.500, 0.500)
Zn (0.000, 0.000, 0.752)
Zn (0.000, 0.000, 0.248)

Computed properties:
Crystal system = tetragonal
VASP energy = -55.50 eV/cell
Theoretical density = 6.69 g/cm³
Volume = 53 Å³/cell
Energy of formation = 0.078 eV/atom

=====

This record from Alexandria via LeMat-Bulk describes ZnCr2P at its PBEsol-relaxed geometry. The functional is meta-GGA SCAN.

a b c (Å): 2.818 2.818 5.985
angles (deg): 90.00 90.00 90.00
Sites, in units of the cell vectors:
Cr (0.000, 0.000, 0.791)
Cr (0.000, 0.000, 0.209)
P (0.500, 0.500, 0.000)
Zn (0.500, 0.500, 0.500)

Computed properties:
Crystal system = tetragonal
VASP energy = -60.84 eV/cell
Theoretical density = 7.00 g/cm³
Volume = 48 Å³/cell
Energy of formation = -0.040 eV/atom